No. 1
Here is an optimized crystal structure of Li4Ce3YSe8 from the Alexandria database. Energies are from PBE.

Its uncorrected formation energy is -1621 meV per atom. The volume is 1179.5 Å³ per cell.

The structure belongs to space group R-3m (No. 166, hexagonal axes); the cell edges are 8.3588, 8.3588 and 19.4950 Å and the angles 90.00°, 90.00° and 120.00°. Symmetry generates all atoms from Li at (0.0000, 0.0000, 0.0000), Li at (0.0000, 0.5000, 0.0000), Ce at (0.0000, 0.5000, 0.5000), Y at (0.0000, 0.0000, 0.5000), Se at (0.0000, 0.0000, 0.2535) and Se at (0.0067, 0.5034, 0.2524).


No. 2
Here is an optimized crystal structure of ZrCdCl from the Alexandria database. Energies are from PBE.

Its uncorrected formation energy is -672 meV per atom. The volume is 72.0 Å³ per cell.

The structure belongs to space group P3m1 (No. 156); the cell edges are 3.3340, 3.3340 and 7.4813 Å and the angles 90.00°, 90.00° and 120.00°. Symmetry generates all atoms from Zr at (0.0000, 0.0000, 0.0000), Cd at (0.6667, 0.3333, 0.3175) and Cl at (0.3333, 0.6667, 0.7602).


No. 3
Here is an optimized crystal structure of Sr2Mg3Cd12Sn from the Alexandria database. Energies are from PBE.

As for the energy of formation from the pure elements: -53 meV per atom. The volume is 1485.9 Å³ per cell.

The structure belongs to space group R-3m (No. 166, hexagonal axes); the cell edges are 6.6453, 6.6453 and 38.8540 Å and the angles 90.00°, 90.00° and 120.00°. Symmetry generates all atoms from Sr at (0.0000, 0.0000, 0.1409), Mg at (0.0000, 0.5000, 0.0000), Cd at (0.0178, 0.5089, 0.8901), Cd at (0.0376, 0.5188, 0.6126) and Sn at (0.0000, 0.0000, 0.5000).


No. 4
Here is an optimized crystal structure of CdCu4 from the Alexandria database. Energies are from PBE.

As for the energy of formation from the pure elements: 187 meV per atom. The volume is 147.7 Å³ per cell.

The structure belongs to space group I4/mmm (No. 139); the cell edges are 3.531, 3.531 and 11.846 Å and the angles 90.00°, 90.00° and 90.00°. Symmetry generates all atoms from Cd at (0.000, 0.000, 0.000), Cu at (0.000, 0.000, 0.397) and Cu at (0.000, 0.500, 0.250).


No. 5
Here is an optimized crystal structure of NdTlPt from the Alexandria database. Energies are from PBE.

As for the energy of formation from the pure elements: -763 meV per atom. The volume is 438.6 Å³ per cell.

The structure belongs to space group Pmma (No. 51); the cell edges are 14.049, 3.912 and 7.979 Å and the angles 90.00°, 90.00° and 90.00°. Symmetry generates all atoms from Nd at (0.049, 0.000, 0.223), Nd at (0.250, 0.000, 0.843), Tl at (0.114, 0.500, 0.570), Tl at (0.250, 0.500, 0.188), Pt at (0.095, 0.500, 0.938) and Pt at (0.250, 0.000, 0.450).


No. 6
Here is an optimized crystal structure of HoEr2Ag3Te6 from the Alexandria database. Energies are from PBE.

Its uncorrected formation energy is -820 meV per atom. The volume is 699.7 Å³ per cell.

The structure belongs to space group C2/m (No. 12); the cell edges are 18.888, 4.382 and 8.646 Å and the angles 90.00°, 102.14° and 90.00°. Symmetry generates all atoms from Ho at (0.000, 0.000, 0.000), Er at (0.167, 0.500, 0.329), Ag at (0.000, 0.000, 0.500), Ag at (0.169, 0.500, 0.824), Te at (0.000, 0.500, 0.252), Te at (0.166, 0.000, 0.580) and Te at (0.167, 0.000, 0.078).


| no. | final energy (eV/cell) |
| --- | --- |
| 1 | -257.18 |
| 2 | -13.33 |
| 3 | -72.25 |
| 4 | -32.73 |
| 5 | -92.79 |
| 6 | -101.91 |